# LuPuIrOs

A geometry-optimized LuPuIrOs structure (PBE, Alexandria).

a = 6.752 Å, b = 6.752 Å, c = 6.752 Å
α = 90.00°, β = 90.00°, γ = 90.00°
Space group F-43m (No. 216)
Inequivalent atoms, fractional coordinates:
Lu1 0.000 0.000 0.000 x4
Pu1 0.000 0.000 0.500 x4
Ir1 0.250 0.250 0.250 x4
Os1 0.250 0.250 0.750 x4

Calculated values
Formation enthalpy at 0 K: -0.377 eV/atom
N(E_F): 22.87 states/eV/cell
E: -0.7433 Ry per atom

=====

# AcMgZn2Ag

A geometry-optimized AcMgZn2Ag structure (PBE, Alexandria).

a = 4.328 Å, b = 4.328 Å, c = 12.336 Å
α = 90.00°, β = 90.00°, γ = 90.00°
Space group I-4m2 (No. 119)
Inequivalent atoms, fractional coordinates:
Ac1 0.000 0.000 0.000 x2
Mg1 0.000 0.500 0.750 x2
Zn1 0.000 0.000 0.391 x4
Ag1 0.000 0.500 0.250 x2

Calculated values
Formation enthalpy at 0 K: -0.249 eV/atom
N(E_F): 6.16 states/eV/cell
E: -0.1815 Ry per atom

=====

# Zr2AgBSe

A geometry-optimized Zr2AgBSe structure (PBE, Alexandria).

a = 5.205 Å, b = 5.205 Å, c = 4.757 Å
α = 90.00°, β = 90.00°, γ = 90.00°
Space group P4/mmm (No. 123)
Inequivalent atoms, fractional coordinates:
Zr1 0.000 0.500 0.000 x2
Ag1 0.000 0.000 0.000 x1
B1 0.500 0.500 0.500 x1
Se1 0.000 0.000 0.500 x1

Calculated values
E_form (uncorrected): 8.4 eV/f.u.
N(E_F): 8.36 states/eV/cell
E: -0.3198 Ry per atom

=====

# Nb2VH

A geometry-optimized Nb2VH structure (PBE, Alexandria).

a = 6.110 Å, b = 6.110 Å, c = 6.110 Å
α = 90.00°, β = 90.00°, γ = 90.00°
Space group Fm-3m (No. 225)
Inequivalent atoms, fractional coordinates:
Nb1 0.250 0.250 0.250 x8
V1 0.000 0.000 0.000 x4
H1 0.000 0.000 0.500 x4

Calculated values
N(E_F): 17.23 states/eV/cell
E: -0.5514 Ry per atom

=====

# CsMn2CrRe

A geometry-optimized CsMn2CrRe structure (PBE, Alexandria).

a = 4.751 Å, b = 4.751 Å, c = 4.778 Å
α = 90.00°, β = 90.00°, γ = 90.00°
Space group P4/mmm (No. 123)
Inequivalent atoms, fractional coordinates:
Cs1 0.000 0.000 0.000 x1
Mn1 0.000 0.500 0.000 x2
Cr1 0.000 0.000 0.500 x1
Re1 0.500 0.500 0.500 x1

Calculated values
Formation enthalpy at 0 K: 3.123 eV/atom
N(E_F): 6.09 states/eV/cell
E: -0.3770 Ry per atom

=====

# PuZrSb2N

A geometry-optimized PuZrSb2N structure (PBE, Alexandria).

a = 3.893 Å, b = 3.893 Å, c = 14.222 Å
α = 90.00°, β = 90.00°, γ = 90.00°
Space group P4/nmm (No. 129, origin choice 2)
Inequivalent atoms, fractional coordinates:
Pu1 0.250 0.250 0.077 x2
Zr1 0.250 0.250 0.569 x2
Sb1 0.250 0.250 0.356 x2
Sb2 0.250 0.250 0.783 x2
N1 0.250 0.750 0.000 x2

Calculated values
E_form (uncorrected): -3.9 eV/f.u.
N(E_F): 16.51 states/eV/cell
E: -0.6372 Ry per atom

=====

# Th2SiGe3Ir4

A geometry-optimized Th2SiGe3Ir4 structure (PBE, Alexandria).

a = 4.262 Å, b = 4.262 Å, c = 10.139 Å
α = 90.00°, β = 90.00°, γ = 90.00°
Space group P-4m2 (No. 115)
Inequivalent atoms, fractional coordinates:
Th1 0.000 0.500 0.244 x2
Si1 0.500 0.500 0.000 x1
Ge1 0.000 0.000 0.000 x1
Ge2 0.000 0.500 0.634 x2
Ir1 0.000 0.000 0.500 x1
Ir2 0.000 0.500 0.877 x2
Ir3 0.500 0.500 0.500 x1

Calculated values
E_form (uncorrected): -8.7 eV/f.u.
N(E_F): 5.76 states/eV/cell
E: -0.5755 Ry per atom

=====

# Li2ReTe

A geometry-optimized Li2ReTe structure (PBE, Alexandria).

a = 2.797 Å, b = 4.737 Å, c = 5.223 Å
α = 90.00°, β = 90.23°, γ = 90.00°
Space group Pm (No. 6)
Inequivalent atoms, fractional coordinates:
Li1 0.000 0.000 0.000 x1
Li2 0.004 0.500 0.726 x1
Re1 0.503 0.500 0.223 x1
Te1 0.504 0.000 0.476 x1

Calculated values
E_form (uncorrected): 1.1 eV/f.u.
N(E_F): 1.19 states/eV/cell
E: -0.3368 Ry per atom

=====

# TiCo2Ni2

A geometry-optimized TiCo2Ni2 structure (PBE, Alexandria).

a = 3.309 Å, b = 3.309 Å, c = 11.562 Å
α = 90.00°, β = 90.00°, γ = 90.00°
Space group I4/mmm (No. 139)
Inequivalent atoms, fractional coordinates:
Ti1 0.000 0.000 0.000 x2
Co1 0.000 0.500 0.250 x4
Ni1 0.000 0.000 0.401 x4

Calculated values
Formation enthalpy at 0 K: 0.010 eV/atom
N(E_F): 9.27 states/eV/cell
E: -0.4942 Ry per atom

=====

# FeSnOs3

A geometry-optimized FeSnOs3 structure (PBE, Alexandria).

a = 4.451 Å, b = 4.451 Å, c = 4.451 Å
α = 90.00°, β = 90.00°, γ = 90.00°
Space group Pm-3m (No. 221)
Inequivalent atoms, fractional coordinates:
Fe1 0.000 0.000 0.000 x1
Sn1 0.500 0.500 0.500 x1
Os1 0.000 0.000 0.500 x3

Calculated values
Formation enthalpy at 0 K: 1.570 eV/atom
N(E_F): 6.72 states/eV/cell
E: -0.5630 Ry per atom